This record from the Alexandria database describes a relaxed structure of La2Pm2Sm2Ho. The functional is PBE-GGA.

a b c (Å): 11.563 5.179 8.175
angles (deg): 90.00 98.22 90.00
Element x y z (fractional)
La 0.143 0.000 0.425
La 0.357 0.500 0.575
La 0.643 0.500 0.425
La 0.857 0.000 0.575
Pm 0.215 0.500 0.139
Pm 0.285 0.000 0.861
Pm 0.715 0.000 0.139
Pm 0.785 0.500 0.861
Sm 0.070 0.500 0.718
Sm 0.430 0.000 0.282
Sm 0.570 0.000 0.718
Sm 0.930 0.500 0.282
Ho 0.000 0.000 0.000
Ho 0.500 0.500 0.000

Results
For the energy relative to the elements, the calculation gives 22 meV/atom. The crystal system is monoclinic. The total energy comes out at -4.75 eV per atom.



This record from the Alexandria database describes a relaxed structure of Dy5YPb6. The functional is PBE-GGA.

a b c (Å): 8.223 8.223 7.804
angles (deg): 95.12 95.12 136.35
Element x y z (fractional)
Dy 0.000 0.000 0.000
Dy 0.333 0.667 0.000
Dy 0.333 0.667 0.500
Dy 0.667 0.333 0.000
Dy 0.667 0.333 0.500
Y 0.000 0.000 0.500
Pb 0.167 0.833 0.250
Pb 0.167 0.833 0.750
Pb 0.499 0.499 0.250
Pb 0.501 0.501 0.750
Pb 0.833 0.167 0.250
Pb 0.833 0.167 0.750

Results
For the energy relative to the elements, the calculation gives -440 meV/atom. The crystal system is monoclinic. The total energy comes out at -4.75 eV per atom.



This record from the Alexandria database describes a relaxed structure of PmBiAu5. The functional is PBE-GGA.

a b c (Å): 9.615 5.453 11.908
angles (deg): 90.00 90.00 90.00
Element x y z (fractional)
Pm 0.247 0.250 0.084
Pm 0.253 0.750 0.584
Pm 0.747 0.250 0.416
Pm 0.753 0.750 0.916
Bi 0.171 0.750 0.868
Bi 0.329 0.250 0.368
Bi 0.671 0.750 0.632
Bi 0.829 0.250 0.132
Au 0.017 0.750 0.075
Au 0.042 0.001 0.293
Au 0.042 0.499 0.293
Au 0.066 0.250 0.507
Au 0.221 0.250 0.711
Au 0.279 0.750 0.211
Au 0.434 0.750 0.007
Au 0.458 0.501 0.793
Au 0.458 0.999 0.793
Au 0.483 0.250 0.575
Au 0.517 0.750 0.425
Au 0.542 0.001 0.207
Au 0.542 0.499 0.207
Au 0.566 0.250 0.993
Au 0.721 0.250 0.789
Au 0.779 0.750 0.289
Au 0.934 0.750 0.493
Au 0.958 0.501 0.707
Au 0.958 0.999 0.707
Au 0.983 0.250 0.925

Results
For the energy relative to the elements, the calculation gives -348 meV/atom. The crystal system is orthorhombic. The total energy comes out at -3.92 eV per atom.